(1)
Computed, not measured: an optimized crystal structure of Ce3Tl4PbSe8 at the PBE-GGA level of DFT.

abc: 9.1645 9.1645 9.1645
angles: 56.82 56.82 56.82
Closest atoms and distances in Å follow each position.
Fractional positions:
Ce: 0.0000 0.5000 0.5000  6 Se 2.94-2.98
Ce: 0.5000 0.0000 0.5000  6 Se 2.94-2.98
Ce: 0.5000 0.5000 0.0000  6 Se 2.94-2.98
Tl: 0.0000 0.0000 0.5000  6 Se 3.37-3.40
Tl: 0.0000 0.5000 0.0000  6 Se 3.37-3.40
Tl: 0.5000 0.0000 0.0000  6 Se 3.37-3.40
Tl: 0.5000 0.5000 0.5000  6 Se 3.28
Pb: 0.0000 0.0000 0.0000  6 Se 3.08
Se: 0.2438 0.2438 0.7224  2 Ce 2.94, 1 Pb 3.08, 1 Tl 3.28
Se: 0.2438 0.7224 0.2438  2 Ce 2.94, 1 Pb 3.08, 1 Tl 3.28
Se: 0.2639 0.2639 0.2639  3 Ce 2.98
Se: 0.2776 0.7562 0.7562  2 Ce 2.94, 1 Pb 3.08, 1 Tl 3.28
Se: 0.7224 0.2438 0.2438  2 Ce 2.94, 1 Pb 3.08, 1 Tl 3.28
Se: 0.7361 0.7361 0.7361  3 Ce 2.98
Se: 0.7562 0.2776 0.7562  2 Ce 2.94, 1 Pb 3.08, 1 Tl 3.28
Se: 0.7562 0.7562 0.2776  2 Ce 2.94, 1 Pb 3.08, 1 Tl 3.28

## Properties
Density of states at the Fermi level   0.859 states/eV per atom
Symmetry   No. 166
V   504.4 Å³/cell
Formation energy from raw total energies   -18.39 eV/f.u.


(2)
Computed, not measured: an optimized crystal structure of CeTl2Pb3Se6 at the PBE-GGA level of DFT.

abc: 7.7845 7.7845 7.5240
angles: 99.83 99.83 119.97
Closest atoms and distances in Å follow each position.
Fractional positions:
Ce: 0.0000 0.0000 0.0000  6 Se 2.88-2.96
Tl: 0.3294 0.6706 0.0000  6 Se 3.21-3.30
Tl: 0.6706 0.3294 0.0000  6 Se 3.21-3.30
Pb: 0.1599 0.8401 0.5000  4 Se 2.97-3.06
Pb: 0.5000 0.5000 0.5000  6 Se 3.06-3.31
Pb: 0.8401 0.1599 0.5000  4 Se 2.97-3.06
Se: 0.0824 0.3787 0.2434  1 Ce 2.88, 2 Pb 3.06, 1 Tl 3.21
Se: 0.2194 0.2194 0.7466  1 Ce 2.96, 3 Pb 2.97-3.31, 2 Tl 3.30
Se: 0.3787 0.0824 0.2434  1 Ce 2.88, 2 Pb 3.06, 1 Tl 3.21
Se: 0.6213 0.9176 0.7566  1 Ce 2.88, 2 Pb 3.06, 1 Tl 3.21
Se: 0.7806 0.7806 0.2534  1 Ce 2.96, 3 Pb 2.97-3.31, 2 Tl 3.30
Se: 0.9176 0.6213 0.7566  1 Ce 2.88, 2 Pb 3.06, 1 Tl 3.21

## Properties
Density of states at the Fermi level   0.001 states/eV per atom
Symmetry   No. 12
V   371.3 Å³/cell
Formation energy from raw total energies   -9.56 eV/f.u.